No. 1
DFT (PBE) results for a relaxed Ta3ZnOs crystal.

Properties
**Formation energy from the elements**: 1.58 eV/atom
**Relative energy among the computed polymorphs**: 405 meV per atom
**Space-group type**: Pm-3m
**Crystal system**: cubic

a b c (Å): 4.5939 4.5939 4.5939
angles (deg): 90.00 90.00 90.00
With the nearest neighbours (Å) after each atom.
Fractional coordinates of all 5 atoms:
Ta 0.0000 0.0000 0.5000  2 Zn 2.30
Ta 0.0000 0.5000 0.0000  2 Zn 2.30
Ta 0.5000 0.0000 0.0000  2 Zn 2.30
Zn 0.0000 0.0000 0.0000  6 Ta 2.30
Os 0.5000 0.5000 0.5000  12 Ta 3.25


No. 2
DFT (PBE) results for a relaxed TaZnOs3 crystal.

Properties
**Formation energy from the elements**: 2.21 eV/atom
**Relative energy among the computed polymorphs**: 629 meV per atom
**Space-group type**: Pm-3m
**Crystal system**: cubic

a b c (Å): 4.7598 4.7598 4.7598
angles (deg): 90.00 90.00 90.00
With the nearest neighbours (Å) after each atom.
Fractional coordinates of all 5 atoms:
Ta 0.0000 0.0000 0.0000  6 Os 2.38
Zn 0.5000 0.5000 0.5000  12 Os 3.37
Os 0.0000 0.0000 0.5000  2 Ta 2.38
Os 0.0000 0.5000 0.0000  2 Ta 2.38
Os 0.5000 0.0000 0.0000  2 Ta 2.38


No. 3
DFT (PBE) results for a relaxed TaZn2Os crystal.

Properties
**Formation energy from the elements**: 0.02 eV/atom
**Relative energy among the computed polymorphs**: 42 meV per atom
**Space-group type**: Pm
**Crystal system**: monoclinic

a b c (Å): 2.8414 4.1478 5.3034
angles (deg): 90.00 101.48 90.00
With the nearest neighbours (Å) after each atom.
Fractional coordinates of all 4 atoms:
Ta 0.0000 0.0000 0.0000  2 Os 2.62, 6 Zn 2.66-2.88, 2 Ta 2.84
Zn 0.5960 0.5000 0.2598  2 Zn 2.43, 1 Os 2.71
Zn 0.6213 0.0000 0.4993  2 Zn 2.43, 1 Ta 2.66
Os 0.2286 0.5000 0.7478  2 Ta 2.62, 6 Zn 2.71-2.85, 2 Os 2.84


No. 4
DFT (PBE) results for a relaxed TaZn2Os crystal.

Properties
**Formation energy from the elements**: 0.21 eV/atom
**Relative energy among the computed polymorphs**: 230 meV per atom
**Space-group type**: R-3m
**Crystal system**: trigonal

a b c (Å): 9.2491 9.2491 9.2491
angles (deg): 17.40 17.40 17.40
With the nearest neighbours (Å) after each atom.
Fractional coordinates of all 4 atoms:
Ta 0.0000 0.0000 0.0000  6 Ta 2.80, 6 Zn 2.90
Zn 0.2450 0.2450 0.2450  3 Os 2.68, 6 Zn 2.80, 3 Ta 2.90
Zn 0.7550 0.7550 0.7550  3 Os 2.68, 6 Zn 2.80, 3 Ta 2.90
Os 0.5000 0.5000 0.5000  6 Zn 2.68, 6 Os 2.80


> Look up the formation energy from the elements of the second one.

2.21 eV/atom